# 1
CoWCl2: optimized geometry, PBE-GGA.

```
CoWCl2
1.0
2.942 0.000 0.000
0.000 2.942 0.000
0.000 0.000 8.265
Co W Cl
1 1 2
direct
0.000 0.000 0.000
0.500 0.500 0.184
0.000 0.000 0.389
0.500 0.500 0.817
```

Properties
Its total energy is -0.2148 hartree per atom. The value obtained for the energy above the most stable polymorph in this dataset is 0.2157 eV/atom. As for the uncorrected formation energy: 0.094 eV/atom.

# 2
FeCoOs2: optimized geometry, PBE-GGA.

```
FeCoOs2
1.0
0.000 2.947 2.947
2.947 0.000 2.947
2.947 2.947 0.000
Fe Co Os
1 1 2
direct
0.000 0.000 0.000
0.500 0.500 0.500
0.250 0.250 0.250
0.750 0.750 0.750
```

Properties
Its total energy is -0.3378 hartree per atom. The value obtained for the energy above the most stable polymorph in this dataset is 0.2072 eV/atom.